Material: Cs2BaLiBr5
Method: DFT, PBE
State: relaxed

Lattice parameters (Å, degrees): 4.833 10.572 15.352 90.00 90.00 103.21
Positions (direct):
Cs: 0.126 0.251 0.343
Br: 0.324 0.647 0.390
Cs: 0.874 0.749 0.843
Br: 0.702 0.404 0.174
Li: 0.550 0.099 0.920
Br: 0.504 0.009 0.276
Br: 0.034 0.069 0.993
Br: 0.343 0.687 0.015
Br: 0.676 0.353 0.890
Cs: 0.107 0.213 0.681
Ba: 0.810 0.620 0.533
Li: 0.450 0.901 0.420
Br: 0.298 0.596 0.674
Br: 0.966 0.931 0.493
Cs: 0.893 0.787 0.181
Br: 0.657 0.313 0.515
Br: 0.496 0.991 0.776
Ba: 0.190 0.380 0.033

Results
Density of states at the Fermi level ... 0.00 states/eV/f.u.
Energy relative to the elements, uncorrected ... -1.86 eV per atom

=====

Material: CaAcDyMg
Method: DFT, PBE
State: relaxed

Lattice parameters (Å, degrees): 5.801 5.801 5.801 60.00 60.00 60.00
Positions (direct):
Ac: 0.750 0.750 0.750
Ca: 0.500 0.500 0.500
Dy: 0.250 0.250 0.250
Mg: 0.000 0.000 0.000

Results
Energy above the lowest structure with this stoichiometry ... 0.072 eV/atom
Formation energy from the elements ... 70 meV per atom
Density of states at the Fermi level ... 4.62 states/eV/f.u.

=====

Material: MoRuW2N
Method: DFT, PBE
State: relaxed

Lattice parameters (Å, degrees): 4.102 4.102 4.100 90.00 90.00 90.00
Positions (direct):
W: 0.000 0.500 0.000
Mo: 0.000 0.000 0.500
N: 0.000 0.000 0.000
W: 0.500 0.000 0.000
Ru: 0.500 0.500 0.500

Results
Density of states at the Fermi level ... 3.69 states/eV/f.u.
Energy relative to the elements, uncorrected ... -0.01 eV per atom

=====

Material: Li4Cd3In5
Method: DFT, PBE
State: relaxed

Lattice parameters (Å, degrees): 6.268 10.589 7.051 77.98 63.31 39.97
Positions (direct):
Li: 0.929 0.823 0.344
Cd: 0.402 0.841 0.341
Cd: 0.598 0.159 0.659
In: 0.500 0.500 0.500
Li: 0.819 0.177 0.186
Li: 0.181 0.823 0.814
Li: 0.071 0.177 0.656
In: 0.254 0.503 0.000
In: 0.382 0.147 0.164
In: 0.618 0.853 0.836
Cd: 0.000 0.500 0.500
In: 0.746 0.497 0.000

Results
Formation energy from the elements ... -165 meV per atom
Density of states at the Fermi level ... 4.14 states/eV/f.u.

=====

Material: PrPb2
Method: DFT, PBE
State: relaxed

Lattice parameters (Å, degrees): 16.685 16.685 16.685 163.67 163.67 23.17
Positions (direct):
Pb: 0.750 0.750 0.000
Pb: 0.500 0.000 0.500
Pb: 0.250 0.250 0.000
Pb: 0.340 0.840 0.500
Pr: 0.074 0.074 0.000
Pb: 0.590 0.590 0.000
Pb: 0.160 0.660 0.500
Pb: 0.000 0.500 0.500
Pb: 0.410 0.410 0.000
Pr: 0.676 0.176 0.500
Pr: 0.824 0.324 0.500
Pr: 0.926 0.926 0.000

Results
Formation energy from the elements ... -473 meV per atom
Density of states at the Fermi level ... 1.73 states/eV/f.u.

=====

Material: HfSeN3
Method: DFT, PBE
State: relaxed

Lattice parameters (Å, degrees): 4.203 4.203 4.203 90.00 90.00 90.00
Positions (direct):
N: 0.000 0.000 0.500
N: 0.000 0.500 0.000
Hf: 0.000 0.000 0.000
N: 0.500 0.000 0.000
Se: 0.500 0.500 0.500

Results
Density of states at the Fermi level ... 2.78 states/eV/f.u.
Energy relative to the elements, uncorrected ... 1.06 eV per atom

=====

Material: Ti2PtW
Method: DFT, PBE
State: relaxed

Lattice parameters (Å, degrees): 3.188 3.188 6.246 90.00 90.00 90.00
Positions (direct):
Pt: 0.500 0.500 0.500
Ti: 0.000 0.000 0.243
W: 0.500 0.500 0.000
Ti: 0.000 0.000 0.757

Results
Formation energy from the elements ... -554 meV per atom
Density of states at the Fermi level ... 2.74 states/eV/f.u.

=====

Material: Ac2Dy8Tm3
Method: DFT, PBE
State: relaxed

Lattice parameters (Å, degrees): 5.443 11.511 11.511 39.24 90.01 90.01
Positions (direct):
Tm: 0.500 0.000 0.000
Dy: 0.000 0.652 0.652
Ac: 0.499 0.239 0.239
Dy: 0.000 0.117 0.117
Ac: 0.501 0.761 0.761
Tm: 0.000 0.291 0.709
Dy: 0.000 0.883 0.883
Dy: 0.000 0.348 0.348
Dy: 0.500 0.186 0.611
Tm: 0.000 0.709 0.291
Dy: 0.500 0.611 0.186
Dy: 0.500 0.814 0.389
Dy: 0.500 0.389 0.814

Results
Formation energy from the elements ... 234 meV per atom
Density of states at the Fermi level ... 22.39 states/eV/f.u.